! RbAcPdO3 PBE-GGA relaxed; values from VASP
! - size of the total moment (μB per formula unit) = 0.00
! - formation energy without anion corrections (eV per atom) = -1.914
&SYSTEM
  ibrav = 0, nat = 12, ntyp = 4
/
ATOMIC_SPECIES
Rb 85.47 Rb.upf
Ac 227.00 Ac.upf
Pd 106.42 Pd.upf
O 16.00 O.upf
CELL_PARAMETERS angstrom
-1.4548 -3.7193 0.8345
6.3650 -1.0080 -3.3701
1.8902 1.0012 7.7572
ATOMIC_POSITIONS crystal
Rb 0.3604 0.7209 0.9364
Rb 0.6396 0.2791 0.0636
Ac 0.6499 0.2998 0.5829
Ac 0.3501 0.7002 0.4171
Pd 0.0078 0.0155 0.2806
Pd 0.9922 0.9845 0.7194
O 0.8532 0.7065 0.2204
O 0.8356 0.6711 0.6304
O 0.5075 0.0149 0.3150
O 0.1644 0.3289 0.3696
O 0.4925 0.9851 0.6850
O 0.1468 0.2935 0.7796

---

! RbAcPd2O4 PBE-GGA relaxed; values from VASP
! - size of the total moment (μB per formula unit) = 0.00
! - formation energy without anion corrections (eV per atom) = -1.523
&SYSTEM
  ibrav = 0, nat = 8, ntyp = 4
/
ATOMIC_SPECIES
Rb 85.47 Rb.upf
Ac 227.00 Ac.upf
Pd 106.42 Pd.upf
O 16.00 O.upf
CELL_PARAMETERS angstrom
-2.4803 -0.0407 3.2851
-2.0636 -3.1836 -1.5975
4.9320 -5.0342 3.6614
ATOMIC_POSITIONS crystal
Rb 0.0000 0.0000 0.5000
Ac 0.0000 0.0000 0.0000
Pd 0.5000 0.5000 0.2411
Pd 0.5000 0.5000 0.7589
O 0.0000 0.5000 0.2007
O 0.5000 0.0000 0.7993
O 0.5000 0.0000 0.2007
O 0.0000 0.5000 0.7993

---

no.,Fermi-level density of states (states/eV per cell),E_tot (eV/atom)
1,1.8,-6.10
2,2.3,-5.93